Crystalline Tb2Pd2Pt at its relaxed geometry, computed with GGA-PBE.

Total moment in μB per formula unit: 0.0
SG: C2/m, No. 12

a b c (Å): 4.407 4.407 7.056
angles (deg): 90.10 108.19 119.82
Atoms (fractional coordinates):
1 Tb 0.815 0.408 0.223
2 Tb 0.185 0.592 0.777
3 Pd 0.289 0.145 0.434
4 Pd 0.711 0.855 0.566
5 Pt 0.000 0.000 0.000

---

Crystalline TbPdPt2 at its relaxed geometry, computed with GGA-PBE.

Total moment in μB per formula unit: 0.0
SG: Fm-3m, No. 225

a b c (Å): 4.700 4.700 4.701
angles (deg): 60.00 60.00 60.00
Atoms (fractional coordinates):
1 Tb 0.500 0.500 0.500
2 Pd 0.000 0.000 0.000
3 Pt 0.750 0.750 0.750
4 Pt 0.250 0.250 0.250

---

Crystalline Tb2PdPt5 at its relaxed geometry, computed with GGA-PBE.

Total moment in μB per formula unit: 0.0
SG: Pbam, No. 55

a b c (Å): 4.133 5.835 11.676
angles (deg): 90.00 90.00 90.00
Atoms (fractional coordinates):
1 Tb 0.500 0.246 0.624
2 Tb 0.500 0.754 0.376
3 Tb 0.500 0.254 0.124
4 Tb 0.500 0.746 0.876
5 Pd 0.000 0.000 0.500
6 Pd 0.000 0.500 0.000
7 Pt 0.000 0.000 0.000
8 Pt 0.000 0.500 0.500
9 Pt 0.000 0.493 0.750
10 Pt 0.000 0.507 0.250
11 Pt 0.000 0.007 0.250
12 Pt 0.000 0.993 0.750
13 Pt 0.500 0.244 0.874
14 Pt 0.500 0.756 0.126
15 Pt 0.500 0.256 0.374
16 Pt 0.500 0.744 0.626

---

Crystalline TbPdPt at its relaxed geometry, computed with GGA-PBE.

Total moment in μB per formula unit: 0.0
SG: Pmmm, No. 47

a b c (Å): 5.858 4.013 3.832
angles (deg): 90.00 90.00 46.72
Atoms (fractional coordinates):
1 Tb 0.500 0.500 0.000
2 Pd 0.000 0.500 0.000
3 Pt 0.000 0.000 0.500

---

Crystalline Tb8PdPt2 at its relaxed geometry, computed with GGA-PBE.

Total moment in μB per formula unit: 0.0
SG: C2/m, No. 12

a b c (Å): 4.983 6.858 9.087
angles (deg): 101.12 105.91 90.00
Atoms (fractional coordinates):
1 Tb 0.410 0.546 0.821
2 Tb 0.666 0.973 0.331
3 Tb 0.794 0.669 0.588
4 Tb 0.967 0.224 0.933
5 Tb 0.206 0.331 0.412
6 Tb 0.334 0.027 0.669
7 Tb 0.590 0.454 0.179
8 Tb 0.033 0.776 0.067
9 Pd 0.500 0.000 0.000
10 Pt 0.805 0.263 0.609
11 Pt 0.195 0.737 0.391

---

Crystalline Tb2Pd3Pt at its relaxed geometry, computed with GGA-PBE.

Total moment in μB per formula unit: 0.0
SG: Fddd, No. 70

a b c (Å): 10.053 10.053 9.800
angles (deg): 133.39 133.39 70.17
Atoms (fractional coordinates):
1 Tb 0.860 0.638 0.693
2 Tb 0.417 0.695 0.807
3 Tb 0.362 0.140 0.307
4 Tb 0.305 0.583 0.193
5 Tb 0.945 0.167 0.307
6 Tb 0.888 0.610 0.193
7 Tb 0.390 0.112 0.807
8 Tb 0.833 0.055 0.693
9 Pd 0.284 0.716 0.000
10 Pd 0.125 0.875 0.250
11 Pd 0.125 0.375 0.250
12 Pd 0.767 0.767 0.000
13 Pd 0.716 0.284 0.000
14 Pd 0.017 0.517 0.500
15 Pd 0.625 0.875 0.750
16 Pd 0.125 0.875 0.750
17 Pd 0.483 0.983 0.500
18 Pd 0.534 0.466 0.500
19 Pd 0.233 0.233 0.000
20 Pd 0.966 0.034 0.500
21 Pt 0.364 0.364 0.727
22 Pt 0.637 0.636 0.273
23 Pt 0.614 0.114 0.227
24 Pt 0.886 0.386 0.773

---

Crystalline TbPd2Pt3 at its relaxed geometry, computed with GGA-PBE.

Total moment in μB per formula unit: 0.0
SG: R-3m, No. 166

a b c (Å): 5.781 5.781 7.790
angles (deg): 68.22 68.22 60.00
Atoms (fractional coordinates):
1 Tb 0.780 0.780 0.661
2 Tb 0.220 0.220 0.339
3 Pd 0.000 0.000 0.000
4 Pd 0.000 0.500 0.000
5 Pd 0.500 0.500 0.000
6 Pd 0.500 0.000 0.000
7 Pt 0.231 0.722 0.326
8 Pt 0.722 0.231 0.326
9 Pt 0.722 0.722 0.326
10 Pt 0.278 0.769 0.674
11 Pt 0.769 0.278 0.674
12 Pt 0.278 0.278 0.674

---

Crystalline Tb2Pd8Pt at its relaxed geometry, computed with GGA-PBE.

Total moment in μB per formula unit: 0.0
SG: C2/m, No. 12

a b c (Å): 4.243 6.545 7.547
angles (deg): 107.59 106.33 90.00
Atoms (fractional coordinates):
1 Tb 0.784 0.334 0.568
2 Tb 0.216 0.666 0.432
3 Pd 0.409 0.563 0.817
4 Pd 0.668 0.897 0.336
5 Pd 0.859 0.824 0.718
6 Pd 0.966 0.272 0.931
7 Pd 0.141 0.176 0.282
8 Pd 0.332 0.103 0.664
9 Pd 0.591 0.437 0.183
10 Pd 0.034 0.728 0.069
11 Pt 0.500 0.000 0.000

---

Crystalline Tb8PdPt2 at its relaxed geometry, computed with GGA-PBE.

Total moment in μB per formula unit: 0.0
SG: Cm, No. 8

a b c (Å): 5.949 7.674 7.674
angles (deg): 112.96 99.92 99.92
Atoms (fractional coordinates):
1 Tb 0.584 0.339 0.082
2 Tb 0.584 0.082 0.339
3 Tb 0.170 0.369 0.369
4 Tb 0.989 0.222 0.781
5 Tb 0.989 0.781 0.222
6 Tb 0.807 0.638 0.638
7 Tb 0.380 0.922 0.665
8 Tb 0.380 0.665 0.922
9 Pd 0.137 0.008 0.008
10 Pt 0.489 0.694 0.313
11 Pt 0.489 0.313 0.694

---

Crystalline TbPd4Pt at its relaxed geometry, computed with GGA-PBE.

Total moment in μB per formula unit: 0.0
SG: C2/m, No. 12

a b c (Å): 4.919 4.974 5.037
angles (deg): 60.41 81.09 71.72
Atoms (fractional coordinates):
1 Tb 0.000 0.000 0.000
2 Pd 0.000 0.336 0.327
3 Pd 0.500 0.176 0.649
4 Pd 0.000 0.664 0.673
5 Pd 0.500 0.824 0.351
6 Pt 0.500 0.500 0.000

---

Crystalline TbPd2Pt5 at its relaxed geometry, computed with GGA-PBE.

Total moment in μB per formula unit: 0.0
SG: Pbam, No. 55

a b c (Å): 4.004 5.727 11.605
angles (deg): 90.00 90.00 90.00
Atoms (fractional coordinates):
1 Tb 0.000 0.000 0.500
2 Tb 0.000 0.500 0.000
3 Pd 0.500 0.249 0.626
4 Pd 0.500 0.751 0.374
5 Pd 0.500 0.251 0.126
6 Pd 0.500 0.749 0.874
7 Pt 0.000 0.000 0.000
8 Pt 0.000 0.500 0.500
9 Pt 0.000 0.485 0.751
10 Pt 0.000 0.515 0.249
11 Pt 0.000 0.015 0.251
12 Pt 0.000 0.985 0.749
13 Pt 0.500 0.235 0.870
14 Pt 0.500 0.765 0.130
15 Pt 0.500 0.265 0.370
16 Pt 0.500 0.735 0.630

---

Crystalline Tb4Pd7Pt at its relaxed geometry, computed with GGA-PBE.

Total moment in μB per formula unit: 0.0
SG: P-1, No. 2

a b c (Å): 5.609 10.120 6.941
angles (deg): 77.84 51.91 52.73
Atoms (fractional coordinates):
1 Tb 0.689 0.205 0.438
2 Tb 0.311 0.795 0.562
3 Tb 0.705 0.656 0.899
4 Tb 0.295 0.344 0.101
5 Pd 0.751 0.884 0.540
6 Pd 0.249 0.116 0.460
7 Pd 0.987 0.724 0.103
8 Pd 0.013 0.276 0.897
9 Pd 0.633 0.459 0.658
10 Pd 0.500 0.000 0.000
11 Pd 0.367 0.541 0.342
12 Pt 0.000 0.000 0.000

---

The records above yield formation enthalpy at 0 K values of -0.910 -0.706 -0.999 -0.757 -0.626 -0.706 -0.624 -0.508 -0.532 -0.590 -0.454 -0.847 eV per atom, respectively.